Version i
La2CeTm6: relaxed, PBE.

Results
Calculated density = 8.27 g/cm3
Spin magnetization = 0.113 μB/atom

a b c (Å): 6.5392 9.4701 9.4701
angles (deg): 94.64 96.98 96.98
Closest atoms and distances in Å follow each position.
Atoms (fractional coordinates):
1 La 0.3750 0.6099 0.6718  7 Tm 3.37-3.69, 3 La 3.38-3.69
2 La 0.1250 0.3282 0.3901  7 Tm 3.37-3.69, 3 La 3.38-3.69
3 La 0.6250 0.3901 0.3282  7 Tm 3.37-3.69, 3 La 3.38-3.69
4 La 0.8750 0.6718 0.6099  7 Tm 3.37-3.69, 3 La 3.38-3.69
5 Ce 0.2500 0.1168 0.8832  6 Tm 3.14-3.45
6 Ce 0.7500 0.8832 0.1168  6 Tm 3.14-3.45
7 Tm 0.4963 0.7237 0.3306  1 Ce 3.14, 3 Tm 3.17-3.51, 2 La 3.37-3.50
8 Tm 0.0037 0.6694 0.2763  1 Ce 3.14, 3 Tm 3.17-3.51, 2 La 3.37-3.50
9 Tm 0.5037 0.2763 0.6694  1 Ce 3.14, 3 Tm 3.17-3.51, 2 La 3.37-3.50
10 Tm 0.9963 0.3306 0.7237  1 Ce 3.14, 3 Tm 3.17-3.51, 2 La 3.37-3.50
11 Tm 0.7568 0.0505 0.4552  7 Tm 3.36-3.60, 1 Ce 3.45, 2 La 3.49-3.69
12 Tm 0.7432 0.5448 0.9495  7 Tm 3.36-3.60, 1 Ce 3.45, 2 La 3.49-3.69
13 Tm 0.2432 0.9495 0.5448  7 Tm 3.36-3.60, 1 Ce 3.45, 2 La 3.49-3.69
14 Tm 0.2568 0.4552 0.0505  7 Tm 3.36-3.60, 1 Ce 3.45, 2 La 3.49-3.69
15 Tm 0.1904 0.7828 0.9548  2 Ce 3.28-3.61, 4 Tm 3.32-3.61, 2 La 3.45-3.65
16 Tm 0.3096 0.0452 0.2172  2 Ce 3.28-3.61, 4 Tm 3.32-3.61, 2 La 3.45-3.65
17 Tm 0.8096 0.2172 0.0452  2 Ce 3.28-3.61, 4 Tm 3.32-3.61, 2 La 3.45-3.65
18 Tm 0.6904 0.9548 0.7828  2 Ce 3.28-3.61, 4 Tm 3.32-3.61, 2 La 3.45-3.65


Version ii
La2CeTm6: relaxed, PBE.

Results
Calculated density = 8.31 g/cm3
Spin magnetization = 0.162 μB/atom

a b c (Å): 3.4490 10.3681 10.3681
angles (deg): 56.34 109.33 109.33
Closest atoms and distances in Å follow each position.
Atoms (fractional coordinates):
1 La 0.3334 0.6668 0.6668  2 La 3.45, 12 Tm 3.70
2 La 0.6666 0.3332 0.3332  2 La 3.45, 12 Tm 3.70
3 Ce 0.0000 0.0000 0.0000  2 Ce 3.45, 12 Tm 3.66-3.67
4 Tm 0.8315 0.3307 0.0001  5 Tm 3.24-3.45
5 Tm 0.1685 0.9999 0.6693  5 Tm 3.24-3.45
6 Tm 0.1685 0.6693 0.9999  5 Tm 3.24-3.45
7 Tm 0.5000 0.3307 0.6693  5 Tm 3.24-3.45
8 Tm 0.8315 0.0001 0.3307  5 Tm 3.24-3.45
9 Tm 0.5000 0.6693 0.3307  5 Tm 3.24-3.45


version ii (0.043 eV/atom below the next structure)


Version i
LaCeTm2: relaxed, PBE.

Results
Calculated density = 8.10 g/cm3
Spin magnetization = 0.137 μB/atom

a b c (Å): 3.5875 3.5875 9.8321
angles (deg): 90.00 90.00 90.00
Closest atoms and distances in Å follow each position.
Atoms (fractional coordinates):
1 Tm 0.0000 0.0000 0.7627  4 Ce 3.45, 4 Tm 3.59, 4 La 3.62
2 Tm 0.0000 0.0000 0.2373  4 Ce 3.45, 4 Tm 3.59, 4 La 3.62
3 Ce 0.5000 0.5000 0.0000  8 Tm 3.45, 4 Ce 3.59
4 La 0.5000 0.5000 0.5000  4 La 3.59, 8 Tm 3.62


Version ii
LaCeTm2: relaxed, PBE.

Results
Calculated density = 7.90 g/cm3
Spin magnetization = 0.132 μB/atom

a b c (Å): 5.6820 5.6820 5.6820
angles (deg): 60.00 60.00 60.00
Closest atoms and distances in Å follow each position.
Atoms (fractional coordinates):
1 Tm 0.2500 0.2500 0.2500  4 Ce 3.48, 4 La 3.48
2 Tm 0.7500 0.7500 0.7500  4 La 3.48, 4 Ce 3.48
3 Ce 0.0000 0.0000 0.0000  8 Tm 3.48
4 La 0.5000 0.5000 0.5000  8 Tm 3.48


Version iii
LaCeTm2: relaxed, PBE.

Results
Calculated density = 8.07 g/cm3
Spin magnetization = 0.168 μB/atom

a b c (Å): 4.8802 5.1013 5.1013
angles (deg): 90.00 90.00 90.00
Closest atoms and distances in Å follow each position.
Atoms (fractional coordinates):
1 Tm 0.0000 0.0000 0.5000  4 Ce 3.53, 4 La 3.53, 4 Tm 3.61
2 Tm 0.0000 0.5000 0.0000  4 La 3.53, 4 Ce 3.53, 4 Tm 3.61
3 Ce 0.5000 0.5000 0.5000  8 Tm 3.53, 4 La 3.61
4 La 0.5000 0.0000 0.0000  8 Tm 3.53, 4 Ce 3.61


Version iv
LaCeTm2: relaxed, PBE.

Results
Calculated density = 8.20 g/cm3
Spin magnetization = 0.039 μB/atom

a b c (Å): 3.4268 3.4268 12.4384
angles (deg): 82.08 82.08 60.00
Closest atoms and distances in Å follow each position.
Atoms (fractional coordinates):
1 Tm 0.0918 0.0918 0.7246  1 La 3.38, 3 Ce 3.39, 6 Tm 3.43
2 Tm 0.9082 0.9082 0.2754  1 La 3.38, 3 Ce 3.39, 6 Tm 3.43
3 Ce 0.5000 0.5000 0.5000  6 Tm 3.39, 6 Ce 3.43
4 La 0.0000 0.0000 0.0000  2 Tm 3.38, 6 La 3.43


version i (0.017 eV/atom below the next structure)


Version i
LaCe2Y: relaxed, PBE.

Results
Calculated density = 6.70 g/cm3
Spin magnetization = 0.326 μB/atom

a b c (Å): 3.5221 3.5221 11.8985
angles (deg): 81.49 81.49 60.00
Closest atoms and distances in Å follow each position.
Atoms (fractional coordinates):
1 La 0.4983 0.4983 0.5051  6 La 3.52, 6 Ce 3.54-3.66
2 Ce 0.0825 0.0825 0.7526  3 Y 3.51, 6 Ce 3.52, 3 La 3.54
3 Ce 0.2514 0.2514 0.2459  6 Ce 3.52, 3 Y 3.56, 3 La 3.66
4 Y 0.6679 0.6679 0.9964  6 Ce 3.51-3.56, 6 Y 3.52


Version ii
LaCe2Y: relaxed, PBE.

Results
Calculated density = 6.32 g/cm3
Spin magnetization = 1.067 μB/atom

a b c (Å): 5.7354 5.7354 5.7354
angles (deg): 60.00 60.00 60.00
Closest atoms and distances in Å follow each position.
Atoms (fractional coordinates):
1 Y 0.5000 0.5000 0.5000  8 Ce 3.51
2 Ce 0.2500 0.2500 0.2500  4 La 3.51, 4 Y 3.51
3 Ce 0.7500 0.7500 0.7500  4 La 3.51, 4 Y 3.51
4 La 0.0000 0.0000 0.0000  8 Ce 3.51


Version iii
LaCe2Y: relaxed, PBE.

Results
Calculated density = 6.84 g/cm3
Spin magnetization = 0.244 μB/atom

a b c (Å): 3.4028 3.4028 12.4603
angles (deg): 82.15 82.15 60.00
Closest atoms and distances in Å follow each position.
Atoms (fractional coordinates):
1 Y 0.5000 0.5000 0.5000  6 Y 3.40, 6 Ce 3.55
2 Ce 0.0866 0.0866 0.7402  1 La 3.20, 6 Ce 3.40, 3 Y 3.55
3 Ce 0.9134 0.9134 0.2598  1 La 3.20, 6 Ce 3.40, 3 Y 3.55
4 La 0.0000 0.0000 0.0000  2 Ce 3.20, 6 La 3.40


version i (0.090 eV/atom below the next structure)


Version i
LaCeY: relaxed, PBE.

Results
Calculated density = 6.38 g/cm3
Spin magnetization = 0.000 μB/atom

a b c (Å): 3.5402 3.5402 15.2768
angles (deg): 90.00 90.00 90.00
Closest atoms and distances in Å follow each position.
Atoms (fractional coordinates):
1 Ce 0.0000 0.5000 0.5714  8 Ce 3.32-3.54, 4 La 3.53
2 Ce 0.5000 0.0000 0.4286  8 Ce 3.32-3.54, 4 La 3.53
3 La 0.0000 0.5000 0.2659  4 Ce 3.53, 4 La 3.54, 4 Y 3.76
4 La 0.5000 0.0000 0.7341  4 Ce 3.53, 4 La 3.54, 4 Y 3.76
5 Y 0.5000 0.0000 0.0821  8 Y 3.54, 4 La 3.76
6 Y 0.0000 0.5000 0.9179  8 Y 3.54, 4 La 3.76


Version ii
LaCeY: relaxed, PBE.

Results
Calculated density = 6.30 g/cm3
Spin magnetization = 0.120 μB/atom

a b c (Å): 3.5717 3.5717 8.7788
angles (deg): 90.00 90.00 120.00
Closest atoms and distances in Å follow each position.
Atoms (fractional coordinates):
1 Y 0.6667 0.3333 0.3440  3 Ce 3.50, 6 Y 3.57, 3 La 3.73
2 Ce 0.3333 0.6667 0.6667  3 La 3.50, 3 Y 3.50, 6 Ce 3.57
3 La 0.0000 0.0000 0.9893  3 Ce 3.50, 6 La 3.57, 3 Y 3.73


Version iii
LaCeY: relaxed, PBE.

Results
Calculated density = 6.27 g/cm3
Spin magnetization = 0.105 μB/atom

a b c (Å): 6.2278 3.6043 17.2925
angles (deg): 102.05 32.93 90.03
Closest atoms and distances in Å follow each position.
Atoms (fractional coordinates):
1 La 0.3645 0.0918 0.8919  3 Ce 3.46-3.48, 5 Y 3.59-3.73, 4 La 3.60-3.80
2 La 0.6717 0.9595 0.2589  3 Ce 3.46-3.48, 5 Y 3.59-3.73, 4 La 3.60-3.80
3 Ce 0.7543 0.7770 0.5781  3 La 3.46-3.48, 3 Y 3.49-3.51, 6 Ce 3.51-3.68
4 Ce 0.2817 0.2746 0.5727  3 La 3.46-3.48, 3 Y 3.49-3.51, 6 Ce 3.51-3.68
5 Y 0.8368 0.6024 0.9029  3 Ce 3.49-3.51, 5 La 3.59-3.73, 4 Y 3.60-3.65
6 Y 0.1993 0.4491 0.2479  3 Ce 3.49-3.51, 5 La 3.59-3.73, 4 Y 3.60-3.65


version i (0.021 eV/atom below the next structure)


Version i
La6CeY: relaxed, PBE.

Results
Calculated density = 6.33 g/cm3
Spin magnetization = 0.000 μB/atom

a b c (Å): 6.8497 6.8497 6.8653
angles (deg): 90.01 90.01 120.05
Closest atoms and distances in Å follow each position.
Atoms (fractional coordinates):
1 La 0.0014 0.5625 0.7445  1 Ce 3.44, 6 La 3.46-3.61, 1 Y 3.48
2 La 0.5625 0.0014 0.7445  1 Ce 3.44, 6 La 3.46-3.61, 1 Y 3.48
3 La 0.4375 0.9986 0.2555  1 Ce 3.44, 6 La 3.46-3.61, 1 Y 3.48
4 La 0.9986 0.4375 0.2555  1 Ce 3.44, 6 La 3.46-3.61, 1 Y 3.48
5 La 0.4390 0.4390 0.7446  1 Ce 3.44, 6 La 3.46-3.60, 1 Y 3.48
6 La 0.5610 0.5610 0.2554  1 Ce 3.44, 6 La 3.46-3.60, 1 Y 3.48
7 Ce 0.0000 0.0000 0.5000  2 Y 3.43, 6 La 3.44
8 Y 0.0000 0.0000 0.0000  2 Ce 3.43, 6 La 3.48


Version ii
La6CeY: relaxed, PBE.

Results
Calculated density = 6.30 g/cm3
Spin magnetization = 0.155 μB/atom

a b c (Å): 5.1933 5.1933 10.3793
angles (deg): 90.00 90.00 90.00
Closest atoms and distances in Å follow each position.
Atoms (fractional coordinates):
1 La 0.5000 0.5000 0.0000  4 Y 3.67, 8 La 3.71
2 La 0.5000 0.5000 0.5000  8 La 3.63, 4 Ce 3.67
3 La 0.5000 0.0000 0.2555  2 Ce 3.63, 8 La 3.63-3.71, 2 Y 3.71
4 La 0.5000 0.0000 0.7445  8 La 3.63-3.71, 2 Ce 3.63, 2 Y 3.71
5 La 0.0000 0.5000 0.2555  8 La 3.63-3.71, 2 Ce 3.63, 2 Y 3.71
6 La 0.0000 0.5000 0.7445  8 La 3.63-3.71, 2 Ce 3.63, 2 Y 3.71
7 Ce 0.0000 0.0000 0.5000  12 La 3.63-3.67
8 Y 0.0000 0.0000 0.0000  12 La 3.67-3.71


version ii (0.110 eV/atom below the next structure)